1.
Entry from the Alexandria database: crystalline Dy2Pt4Rh at its relaxed geometry (PBE).

Symmetry: Fmmm
Formation energy from the elements, eV per atom: -0.660
Density of states at the Fermi level, states/eV per cell: 6.6

Cell: 7.156 6.165 5.295 Å, 76.87 57.03 46.10°
Positions (direct):
Dy  0.145  0.145  0.855
Dy  0.855  0.855  0.145
Pt  0.000  0.000  0.500
Pt  0.250  0.250  0.250
Pt  0.500  0.500  0.000
Pt  0.750  0.750  0.750
Rh  0.500  0.500  0.500

***

2.
Entry from the Alexandria database: crystalline KPuAlN3 at its relaxed geometry (PBE).

Symmetry: P2_1/m
E_form (uncorrected), meV per atom: -808
Density of states at the Fermi level, states/eV per cell: 14.3

Cell: 7.831 3.463 8.123 Å, 90.00 104.86 90.00°
Positions (direct):
K  0.200  0.250  0.218
K  0.800  0.750  0.782
Pu  0.343  0.750  0.848
Pu  0.657  0.250  0.152
Al  0.090  0.250  0.600
Al  0.910  0.750  0.400
N  0.151  0.750  0.536
N  0.166  0.250  0.841
N  0.481  0.750  0.129
N  0.519  0.250  0.871
N  0.834  0.750  0.159
N  0.849  0.250  0.464

***

3.
Entry from the Alexandria database: crystalline LaIn2Se at its relaxed geometry (PBE).

Symmetry: F-43m
E_form (uncorrected), meV per atom: -601
Density of states at the Fermi level, states/eV per cell: 4.1

Cell: 5.322 5.322 5.322 Å, 60.00 60.00 60.00°
Positions (direct):
La  0.000  0.000  0.000
In  0.500  0.500  0.500
In  0.750  0.750  0.750
Se  0.250  0.250  0.250

***

4.
Entry from the Alexandria database: crystalline OsPb at its relaxed geometry (PBE).

Symmetry: R-3m
Formation energy from the elements, eV per atom: 1.167
Density of states at the Fermi level, states/eV per cell: 1.8

Cell: 4.769 4.769 4.769 Å, 39.00 39.00 39.00°
Positions (direct):
Os  0.000  0.000  0.000
Pb  0.500  0.500  0.500

***

5.
Entry from the Alexandria database: crystalline ThHPdRh2 at its relaxed geometry (PBE).

Symmetry: P4/mmm
VASP energy, eV/atom: -6.84
Density of states at the Fermi level, states/eV per cell: 3.9

Cell: 4.233 4.233 4.114 Å, 90.00 90.00 90.00°
Positions (direct):
Th  0.000  0.000  0.000
H  0.500  0.500  0.500
Pd  0.500  0.500  0.000
Rh  0.000  0.500  0.500
Rh  0.500  0.000  0.500

***

6.
Entry from the Alexandria database: crystalline AsPtRh at its relaxed geometry (PBE).

Symmetry: P3m1
Formation energy from the elements, eV per atom: -0.061
Density of states at the Fermi level, states/eV per cell: 2.7

Cell: 2.993 2.993 6.057 Å, 90.00 90.00 120.00°
Positions (direct):
As  0.000  0.000  0.000
Pt  0.667  0.333  0.329
Rh  0.333  0.667  0.705